## w
Crystalline Tb2DyTm at its relaxed geometry. Source: Alexandria via LeMat-Bulk, functional PBE.

abc: 4.9955 4.9955 4.9890
angles: 90.00 90.00 90.00
Closest atoms and distances in Å follow each position.
Atoms (fractional coordinates):
Tb (0.0000, 0.5000, 0.0000)  4 Dy 3.53, 4 Tm 3.53, 4 Tb 3.53
Tb (0.5000, 0.0000, 0.0000)  4 Dy 3.53, 4 Tm 3.53, 4 Tb 3.53
Dy (0.0000, 0.0000, 0.5000)  8 Tb 3.53, 4 Tm 3.53
Tm (0.5000, 0.5000, 0.5000)  8 Tb 3.53, 4 Dy 3.53

D(E_F) in states/eV/atom: 1.439
Calculated volume in Å³/cell: 124.5

## x
Crystalline Tb2DyTm at its relaxed geometry. Source: Alexandria via LeMat-Bulk, functional PBE.

abc: 7.9680 7.9680 7.9680
angles: 90.00 90.00 90.00
Closest atoms and distances in Å follow each position.
Atoms (fractional coordinates):
Tb (0.2500, 0.2500, 0.2500)  4 Dy 3.45, 4 Tm 3.45
Tb (0.2500, 0.2500, 0.7500)  4 Dy 3.45, 4 Tm 3.45
Tb (0.2500, 0.7500, 0.2500)  4 Dy 3.45, 4 Tm 3.45
Tb (0.2500, 0.7500, 0.7500)  4 Dy 3.45, 4 Tm 3.45
Tb (0.7500, 0.2500, 0.2500)  4 Dy 3.45, 4 Tm 3.45
Tb (0.7500, 0.2500, 0.7500)  4 Dy 3.45, 4 Tm 3.45
Tb (0.7500, 0.7500, 0.2500)  4 Dy 3.45, 4 Tm 3.45
Tb (0.7500, 0.7500, 0.7500)  4 Tm 3.45, 4 Dy 3.45
Dy (0.0000, 0.0000, 0.0000)  8 Tb 3.45
Dy (0.0000, 0.5000, 0.5000)  8 Tb 3.45
Dy (0.5000, 0.0000, 0.5000)  8 Tb 3.45
Dy (0.5000, 0.5000, 0.0000)  8 Tb 3.45
Tm (0.0000, 0.0000, 0.5000)  8 Tb 3.45
Tm (0.0000, 0.5000, 0.0000)  8 Tb 3.45
Tm (0.5000, 0.0000, 0.0000)  8 Tb 3.45
Tm (0.5000, 0.5000, 0.5000)  8 Tb 3.45

D(E_F) in states/eV/atom: 2.398
Calculated volume in Å³/cell: 505.9

Q: Which of them is the least stable? A: x.

## w
Crystalline Tb2DyTm at its relaxed geometry. Source: Alexandria via LeMat-Bulk, functional PBE.

abc: 3.5303 3.5303 9.9848
angles: 90.00 90.00 90.00
Closest atoms and distances in Å follow each position.
Atoms (fractional coordinates):
Tb (0.0000, 0.0000, 0.2481)  4 Tm 3.52, 4 Tb 3.53, 4 Dy 3.54
Tb (0.0000, 0.0000, 0.7519)  4 Tm 3.52, 4 Tb 3.53, 4 Dy 3.54
Dy (0.5000, 0.5000, 0.5000)  4 Dy 3.53, 8 Tb 3.54
Tm (0.5000, 0.5000, 0.0000)  8 Tb 3.52, 4 Tm 3.53

D(E_F) in states/eV/atom: 1.275
Calculated volume in Å³/cell: 124.4

## x
Crystalline Tb2DyTm at its relaxed geometry. Source: Alexandria via LeMat-Bulk, functional PBE.

abc: 3.5574 3.5574 34.1831
angles: 90.00 90.00 120.00
Closest atoms and distances in Å follow each position.
Atoms (fractional coordinates):
Tb (0.0000, 0.0000, 0.0000)  3 Tm 3.50, 3 Dy 3.54, 6 Tb 3.56
Tb (0.0000, 0.0000, 0.1649)  3 Tm 3.48, 3 Dy 3.54, 6 Tb 3.56
Tb (0.3333, 0.6667, 0.6667)  3 Tm 3.50, 3 Dy 3.54, 6 Tb 3.56
Tb (0.3333, 0.6667, 0.8315)  3 Tm 3.48, 3 Dy 3.54, 6 Tb 3.56
Tb (0.6667, 0.3333, 0.3333)  3 Tm 3.50, 3 Dy 3.54, 6 Tb 3.56
Tb (0.6667, 0.3333, 0.4982)  3 Tm 3.48, 3 Dy 3.54, 6 Tb 3.56
Dy (0.0000, 0.0000, 0.5825)  6 Tb 3.54, 6 Dy 3.56
Dy (0.3333, 0.6667, 0.2492)  6 Tb 3.54, 6 Dy 3.56
Dy (0.6667, 0.3333, 0.9158)  6 Tb 3.54, 6 Dy 3.56
Tm (0.0000, 0.0000, 0.4161)  6 Tb 3.48-3.50, 6 Tm 3.56
Tm (0.3333, 0.6667, 0.0828)  6 Tb 3.48-3.50, 6 Tm 3.56
Tm (0.6667, 0.3333, 0.7494)  6 Tb 3.48-3.50, 6 Tm 3.56

D(E_F) in states/eV/atom: 1.500
Calculated volume in Å³/cell: 374.6

Q: Which of them is the least stable? A: w.

## w
Crystalline Tb5Dy2Tm2 at its relaxed geometry. Source: Alexandria via LeMat-Bulk, functional PBE.

abc: 10.2464 10.2464 10.2464
angles: 86.58 103.61 145.53
Closest atoms and distances in Å follow each position.
Atoms (fractional coordinates):
Tb (0.0675, 0.9994, 0.5681)  3 Dy 3.27-3.64, 4 Tb 3.39-3.49, 2 Tm 3.42
Tb (0.1999, 0.0476, 0.2474)  5 Tb 3.29-3.50, 2 Tm 3.48-3.53, 1 Dy 3.61
Tb (0.1999, 0.4524, 0.6523)  5 Tb 3.29-3.50, 2 Tm 3.48-3.53, 1 Dy 3.61
Tb (0.4312, 0.4994, 0.4319)  3 Dy 3.27-3.64, 4 Tb 3.39-3.49, 2 Tm 3.42
Tb (0.4786, 0.0233, 0.1688)  5 Tb 3.19-3.50, 2 Dy 3.23-3.45, 2 Tm 3.35-3.47
Tb (0.4786, 0.8098, 0.9553)  5 Tb 3.19-3.50, 2 Dy 3.23-3.45, 2 Tm 3.35-3.47
Tb (0.8001, 0.5476, 0.3477)  5 Tb 3.29-3.50, 2 Tm 3.48-3.53, 1 Dy 3.61
Tb (0.8001, 0.9524, 0.7526)  5 Tb 3.29-3.50, 2 Tm 3.48-3.53, 1 Dy 3.61
Tb (0.8545, 0.3098, 0.8312)  5 Tb 3.19-3.50, 2 Dy 3.23-3.45, 2 Tm 3.35-3.47
Tb (0.8545, 0.5233, 0.0447)  5 Tb 3.19-3.50, 2 Dy 3.23-3.45, 2 Tm 3.35-3.47
Dy (0.5932, 0.0932, 0.5000)  4 Tb 3.23-3.61, 2 Tm 3.39
Dy (0.5932, 0.5932, 0.0000)  4 Tb 3.23-3.61, 2 Tm 3.39
Dy (0.6631, 0.4651, 0.6980)  5 Tb 3.27-3.64, 2 Tm 3.42
Dy (0.7672, 0.9651, 0.3020)  5 Tb 3.27-3.64, 2 Tm 3.42
Tm (0.1089, 0.2924, 0.0877)  6 Tb 3.35-3.57, 2 Dy 3.39-3.42, 1 Tm 3.41
Tm (0.1089, 0.5212, 0.3165)  6 Tb 3.35-3.57, 2 Dy 3.39-3.42, 1 Tm 3.41
Tm (0.2047, 0.0212, 0.9123)  6 Tb 3.35-3.57, 2 Dy 3.39-3.42, 1 Tm 3.41
Tm (0.2047, 0.7924, 0.6835)  6 Tb 3.35-3.57, 2 Dy 3.39-3.42, 1 Tm 3.41

D(E_F) in states/eV/atom: 1.417
Calculated volume in Å³/cell: 573.9

## x
Crystalline Tb5Dy2Tm2 at its relaxed geometry. Source: Alexandria via LeMat-Bulk, functional PBE.

abc: 7.9030 7.9030 7.9014
angles: 107.49 107.49 36.82
Closest atoms and distances in Å follow each position.
Atoms (fractional coordinates):
Tb (0.0000, 0.0000, 0.0000)  2 Dy 3.53, 6 Tb 3.53, 4 Tm 3.54
Tb (0.2219, 0.2219, 0.3337)  6 Tb 3.53-3.55, 3 Tm 3.53, 3 Dy 3.53-3.54
Tb (0.3334, 0.3334, 0.9994)  7 Tb 3.53-3.55, 3 Dy 3.54, 2 Tm 3.54
Tb (0.6666, 0.6666, 0.0006)  7 Tb 3.53-3.55, 3 Dy 3.54, 2 Tm 3.54
Tb (0.7781, 0.7781, 0.6663)  6 Tb 3.53-3.55, 3 Tm 3.53, 3 Dy 3.53-3.54
Dy (0.1104, 0.1104, 0.6662)  1 Dy 3.51, 4 Tm 3.52, 7 Tb 3.53-3.54
Dy (0.8896, 0.8896, 0.3338)  1 Dy 3.51, 4 Tm 3.52, 7 Tb 3.53-3.54
Tm (0.4445, 0.4445, 0.6656)  1 Tm 3.52, 4 Dy 3.52, 7 Tb 3.53-3.54
Tm (0.5555, 0.5555, 0.3344)  1 Tm 3.52, 4 Dy 3.52, 7 Tb 3.53-3.54

D(E_F) in states/eV/atom: 1.267
Calculated volume in Å³/cell: 280.5

Q: Which of them is the least stable? A: w.

## w
Crystalline TbDy6Tm2 at its relaxed geometry. Source: Alexandria via LeMat-Bulk, functional PBE.

abc: 8.4082 8.4082 8.4082
angles: 48.73 48.73 48.73
Closest atoms and distances in Å follow each position.
Atoms (fractional coordinates):
Tb (0.0000, 0.0000, 0.0000)  6 Dy 3.12-3.18
Dy (0.0557, 0.0557, 0.5627)  1 Tb 3.12, 4 Dy 3.27-3.42
Dy (0.0557, 0.5627, 0.0557)  1 Tb 3.12, 4 Dy 3.27-3.42
Dy (0.2806, 0.2806, 0.7668)  1 Tb 3.18, 4 Dy 3.27-3.37, 2 Tm 3.51
Dy (0.2806, 0.7668, 0.2806)  1 Tb 3.18, 4 Dy 3.27-3.37, 2 Tm 3.51
Dy (0.5627, 0.0557, 0.0557)  1 Tb 3.12, 4 Dy 3.27-3.42
Dy (0.7668, 0.2806, 0.2806)  1 Tb 3.18, 4 Dy 3.27-3.37, 2 Tm 3.51
Tm (0.5865, 0.5865, 0.5865)  9 Dy 3.53-3.74, 1 Tm 3.67
Tm (0.7521, 0.7521, 0.7521)  9 Dy 3.51-3.67, 1 Tm 3.67

D(E_F) in states/eV/atom: 1.444
Calculated volume in Å³/cell: 308.1

## x
Crystalline TbDy6Tm2 at its relaxed geometry. Source: Alexandria via LeMat-Bulk, functional PBE.

abc: 3.5272 8.6238 9.3221
angles: 90.02 100.85 90.05
Closest atoms and distances in Å follow each position.
Atoms (fractional coordinates):
Tb (0.0000, 0.0000, 0.0000)  6 Dy 3.52-3.53, 4 Tm 3.52-3.53, 2 Tb 3.53
Dy (0.1105, 0.6658, 0.2211)  4 Tm 3.51-3.52, 7 Dy 3.51-3.54, 1 Tb 3.52
Dy (0.2218, 0.3339, 0.4435)  10 Dy 3.51-3.54, 2 Tm 3.52
Dy (0.3333, 0.0001, 0.6668)  2 Tb 3.52-3.53, 9 Dy 3.52-3.53, 1 Tm 3.53
Dy (0.6667, 0.9999, 0.3332)  2 Tb 3.52-3.53, 9 Dy 3.52-3.53, 1 Tm 3.53
Dy (0.7782, 0.6661, 0.5565)  10 Dy 3.51-3.54, 2 Tm 3.52
Dy (0.8895, 0.3342, 0.7789)  4 Tm 3.51-3.52, 7 Dy 3.51-3.54, 1 Tb 3.52
Tm (0.4443, 0.6661, 0.8893)  7 Dy 3.51-3.53, 3 Tm 3.51-3.53, 2 Tb 3.52-3.53
Tm (0.5557, 0.3339, 0.1107)  7 Dy 3.51-3.53, 3 Tm 3.51-3.53, 2 Tb 3.52-3.53

D(E_F) in states/eV/atom: 1.360
Calculated volume in Å³/cell: 278.5

Q: Which of them is the least stable? A: w.

## w
Crystalline Tb3Dy4Tm8 at its relaxed geometry. Source: Alexandria via LeMat-Bulk, functional PBE.

abc: 12.2587 12.2587 12.2587
angles: 32.45 32.45 32.45
Closest atoms and distances in Å follow each position.
Atoms (fractional coordinates):
Tb (0.0000, 0.5000, 0.5000)  6 Tm 3.37-3.50, 4 Tb 3.42, 2 Dy 3.42
Tb (0.5000, 0.0000, 0.5000)  6 Tm 3.37-3.50, 4 Tb 3.42, 2 Dy 3.42
Tb (0.5000, 0.5000, 0.0000)  6 Tm 3.37-3.50, 2 Dy 3.42, 4 Tb 3.42
Dy (0.0000, 0.0000, 0.0000)  6 Tb 3.42, 6 Tm 3.51
Dy (0.1635, 0.1635, 0.1635)  4 Tm 3.18-3.43
Dy (0.5000, 0.5000, 0.5000)  6 Tm 3.51
Dy (0.8365, 0.8365, 0.8365)  4 Tm 3.18-3.43
Tm (0.2505, 0.2505, 0.7485)  6 Tm 3.41-3.44, 3 Dy 3.43-3.51, 2 Tb 3.50
Tm (0.2505, 0.7485, 0.2505)  6 Tm 3.41-3.44, 3 Dy 3.43-3.51, 2 Tb 3.50
Tm (0.2515, 0.7495, 0.7495)  6 Tm 3.41-3.44, 3 Dy 3.43-3.51, 2 Tb 3.50
Tm (0.2548, 0.2548, 0.2548)  1 Dy 3.18, 3 Tb 3.37, 6 Tm 3.43
Tm (0.7452, 0.7452, 0.7452)  1 Dy 3.18, 3 Tb 3.37-3.38, 6 Tm 3.43
Tm (0.7485, 0.2505, 0.2505)  6 Tm 3.41-3.44, 3 Dy 3.43-3.51, 2 Tb 3.50
Tm (0.7495, 0.2515, 0.7495)  6 Tm 3.41-3.44, 3 Dy 3.43-3.51, 2 Tb 3.50
Tm (0.7495, 0.7495, 0.2515)  6 Tm 3.41-3.44, 3 Dy 3.43-3.51, 2 Tb 3.50

D(E_F) in states/eV/atom: 1.473
Calculated volume in Å³/cell: 471.4

## x
Crystalline Tb3Dy4Tm8 at its relaxed geometry. Source: Alexandria via LeMat-Bulk, functional PBE.

abc: 9.1752 9.1752 6.6337
angles: 111.18 111.18 88.07
Closest atoms and distances in Å follow each position.
Atoms (fractional coordinates):
Tb (0.0000, 0.0000, 0.0000)  6 Tm 3.16-3.18
Tb (0.0000, 0.5000, 0.0000)  4 Tm 3.20-3.30, 2 Dy 3.32
Tb (0.5000, 0.0000, 0.0000)  4 Tm 3.20-3.30, 2 Dy 3.32
Dy (0.0000, 0.5000, 0.5000)  4 Tm 3.19-3.30, 2 Tb 3.32
Dy (0.5000, 0.0000, 0.5000)  4 Tm 3.19-3.30, 2 Tb 3.32
Dy (0.5000, 0.5000, 0.0000)  6 Tm 3.22-3.43, 2 Dy 3.32
Dy (0.5000, 0.5000, 0.5000)  2 Dy 3.32, 4 Tm 3.48-3.50
Tm (0.1384, 0.8616, 0.5000)  7 Tm 3.53-3.60, 2 Dy 3.59, 4 Tb 3.59-3.76
Tm (0.2345, 0.2345, 0.4934)  1 Tb 3.18, 2 Tm 3.18-3.45, 4 Dy 3.19-3.48
Tm (0.2337, 0.2337, 0.9726)  3 Tb 3.18-3.20, 2 Tm 3.18-3.45, 2 Dy 3.43-3.50
Tm (0.2478, 0.7522, 0.0000)  3 Tb 3.16-3.30, 3 Dy 3.22-3.30
Tm (0.7522, 0.2478, 0.0000)  3 Tb 3.16-3.30, 3 Dy 3.22-3.30
Tm (0.7663, 0.7663, 0.0274)  3 Tb 3.18-3.20, 2 Tm 3.18-3.45, 2 Dy 3.43-3.50
Tm (0.7655, 0.7655, 0.5066)  1 Tb 3.18, 2 Tm 3.18-3.45, 4 Dy 3.19-3.48
Tm (0.8616, 0.1384, 0.5000)  7 Tm 3.53-3.60, 2 Dy 3.59, 4 Tb 3.59-3.76

D(E_F) in states/eV/atom: 1.949
Calculated volume in Å³/cell: 482.5

Q: Which of them is the least stable? A: x.